Record 1
First-principles (PBE) data for a geometry-optimized BaAg2Hg5 structure, as listed in the Alexandria database.

Cell: 4.541 7.393 7.393 Å, 67.78 72.11 72.11°
Positions (direct):
1 Ba 0.000 0.000 0.000
2 Ag 0.751 0.749 0.749
3 Ag 0.249 0.251 0.251
4 Hg 0.000 0.500 0.500
5 Hg 0.642 0.554 0.163
6 Hg 0.358 0.446 0.837
7 Hg 0.358 0.837 0.446
8 Hg 0.642 0.163 0.554

Computed properties:
DFT formation energy, eV per atom: -0.171

---

Record 2
First-principles (PBE) data for a geometry-optimized Ba5Ag2Hg structure, as listed in the Alexandria database.

Cell: 9.024 9.024 10.527 Å, 115.38 115.38 90.00°
Positions (direct):
1 Ba 0.528 0.688 0.716
2 Ba 0.812 0.972 0.284
3 Ba 0.000 0.000 0.000
4 Ba 0.500 0.500 0.000
5 Ba 0.188 0.028 0.716
6 Ba 0.688 0.188 0.716
7 Ba 0.028 0.528 0.716
8 Ba 0.312 0.812 0.284
9 Ba 0.972 0.472 0.284
10 Ba 0.472 0.312 0.284
11 Ag 0.117 0.383 0.000
12 Ag 0.617 0.117 0.000
13 Ag 0.383 0.883 0.000
14 Ag 0.883 0.617 0.000
15 Hg 0.750 0.750 0.500
16 Hg 0.250 0.250 0.500

Computed properties:
DFT formation energy, eV per atom: -0.265

---

Record 3
First-principles (PBE) data for a geometry-optimized Ba2Ag2Hg structure, as listed in the Alexandria database.

Cell: 6.464 6.464 6.230 Å, 58.75 58.75 90.00°
Positions (direct):
1 Hg 0.000 0.000 0.000
2 Ag 0.343 0.343 0.314
3 Ag 0.657 0.657 0.686
4 Ba 0.750 0.250 0.500
5 Ba 0.250 0.750 0.500

Computed properties:
DFT formation energy, eV per atom: -0.205

---

Record 4
First-principles (PBE) data for a geometry-optimized BaAgHg structure, as listed in the Alexandria database.

Cell: 4.675 4.675 9.624 Å, 104.06 104.06 90.00°
Positions (direct):
1 Ba 0.250 0.750 0.500
2 Ba 0.500 0.500 0.000
3 Ag 0.923 0.923 0.845
4 Ag 0.077 0.077 0.155
5 Hg 0.835 0.335 0.671
6 Hg 0.665 0.165 0.329

Computed properties:
DFT formation energy, eV per atom: -0.378

---

Record 5
First-principles (PBE) data for a geometry-optimized Ba2Ag3Hg2 structure, as listed in the Alexandria database.

Cell: 5.118 6.271 7.331 Å, 103.79 90.00 114.08°
Positions (direct):
1 Ba 0.865 0.730 0.229
2 Ba 0.135 0.270 0.771
3 Ag 0.500 0.000 0.000
4 Ag 0.593 0.187 0.404
5 Ag 0.407 0.813 0.596
6 Hg 0.827 0.654 0.728
7 Hg 0.173 0.346 0.272

Computed properties:
DFT formation energy, eV per atom: -0.298

---

Record 6
First-principles (PBE) data for a geometry-optimized Ba8Ag3Hg2 structure, as listed in the Alexandria database.

Cell: 5.861 11.737 10.171 Å, 125.38 90.00 90.00°
Positions (direct):
1 Ba 0.000 0.625 0.251
2 Ba 0.000 0.375 0.749
3 Ba 0.000 0.121 0.243
4 Ba 0.000 0.879 0.757
5 Ba 0.500 0.632 0.752
6 Ba 0.500 0.121 0.753
7 Ba 0.500 0.879 0.247
8 Ba 0.500 0.368 0.248
9 Ag 0.500 0.000 0.000
10 Ag 0.000 0.254 0.000
11 Ag 0.000 0.746 0.000
12 Hg 0.500 0.255 0.510
13 Hg 0.500 0.745 0.490

Computed properties:
DFT formation energy, eV per atom: -0.226

---

> Look up the DFT formation energy of the second one.

-0.265 eV per atom

---

> What is the DFT formation energy in the fifth record?

-0.298 eV per atom

---

> Look up the DFT formation energy of the third one.

-0.205 eV per atom